## RbVFeF6 (PBE with a Hubbard U)

Data for a relaxed structure of RbVFeF6.

Cell lengths 5.4286, 5.4366, 6.0778 Å; angles 90.10, 90.28, 119.49 degrees
Atoms (fractional coordinates):
Rb: 0.0000 0.0000 0.0000
V: 0.3328 0.6676 0.4997
Fe: 0.6675 0.3325 0.4998
F: 0.0110 0.6216 0.3164
F: 0.0133 0.3810 0.6794
F: 0.3776 0.3883 0.3163
F: 0.3787 0.9882 0.6828
F: 0.6136 0.6229 0.6824
F: 0.6180 0.9879 0.3196

Computed properties:
The volume comes out at 156 Å³/cell. For the density of states at the Fermi level, the calculation gives 0.000 states/eV per atom. For the magnetic moment, the calculation gives 2.0 Bohr magnetons per cell. The total energy is -5.354 eV/atom.